# 1
# CaY2CdHg4 | Alexandria via LeMat-Bulk | PBE | optimized geometry
data_CaY2CdHg4
_chemical_formula_sum 'Ca3 Y6 Cd3 Hg12'
_symmetry_space_group_name_H-M 'R -3 m'
_symmetry_Int_Tables_number 166
_symmetry_space_group_name_Hall '-R 3 2"'
_cell_length_a 5.1851
_cell_length_b 5.1851
_cell_length_c 25.6881
_cell_angle_alpha 90.00
_cell_angle_beta 90.00
_cell_angle_gamma 120.00
loop_
_atom_site_label
_atom_site_type_symbol
_atom_site_fract_x
_atom_site_fract_y
_atom_site_fract_z
Ca1 Ca 0.0000 0.0000 0.0000
Y1 Y 0.0000 0.0000 0.2443
Cd1 Cd 0.0000 0.0000 0.5000
Hg1 Hg 0.0000 0.0000 0.1226
Hg2 Hg 0.0000 0.0000 0.3715
# V in Å³/cell: 598.11
# Final energy in eV/atom: -2.583
# Magnetization in μB per cell: 0.00
# ΔE_f in kJ/mol of atoms: -44



# 2
# YTa3Ag | Alexandria via LeMat-Bulk | PBE | optimized geometry
data_YTa3Ag
_chemical_formula_sum 'Y1 Ta3 Ag1'
_symmetry_space_group_name_H-M 'P m -3 m'
_symmetry_Int_Tables_number 221
_symmetry_space_group_name_Hall '-P 4 2 3'
_cell_length_a 4.939
_cell_length_b 4.939
_cell_length_c 4.939
_cell_angle_alpha 90.00
_cell_angle_beta 90.00
_cell_angle_gamma 90.00
loop_
_atom_site_label
_atom_site_type_symbol
_atom_site_fract_x
_atom_site_fract_y
_atom_site_fract_z
Y1 Y 0.000 0.000 0.000
Ta1 Ta 0.000 0.000 0.500
Ag1 Ag 0.500 0.500 0.500
# V in Å³/cell: 120.45
# Polymorph energy (0 for the lowest one) in eV/f.u.: 3.98
# Final energy in eV/atom: -6.551
# Magnetization in μB per cell: 0.00
# ΔE_f in kJ/mol of atoms: 234



# 3
# BaCuCl6 | Alexandria via LeMat-Bulk | PBE | optimized geometry
data_BaCuCl6
_chemical_formula_sum 'Ba1 Cu1 Cl6'
_symmetry_space_group_name_H-M 'P -1'
_symmetry_Int_Tables_number 2
_cell_length_a 5.388
_cell_length_b 6.182
_cell_length_c 6.930
_cell_angle_alpha 91.91
_cell_angle_beta 100.28
_cell_angle_gamma 93.82
loop_
_symmetry_equiv_pos_as_xyz
'x,y,z'
'-x,-y,-z'
loop_
_atom_site_label
_atom_site_type_symbol
_atom_site_fract_x
_atom_site_fract_y
_atom_site_fract_z
Ba1 Ba 0.000 0.000 0.000
Cu1 Cu 0.000 0.500 0.500
Cl1 Cl 0.174 0.476 0.240
Cl2 Cl 0.202 0.225 0.653
Cl3 Cl 0.443 0.880 0.747
# V in Å³/cell: 226.35
# Final energy in eV/atom: -3.142
# Uncorrected formation energy in kJ per mole of atoms: -96.91
# Magnetization in μB per cell: 0.00



# 4
# CaTbPrSm | Alexandria via LeMat-Bulk | PBE | optimized geometry
data_CaTbPrSm
_chemical_formula_sum 'Ca1 Tb1 Pr1 Sm1'
_symmetry_space_group_name_H-M 'P 4 m m'
_symmetry_Int_Tables_number 99
_cell_length_a 3.671
_cell_length_b 3.671
_cell_length_c 10.546
_cell_angle_alpha 90.00
_cell_angle_beta 90.00
_cell_angle_gamma 90.00
loop_
_symmetry_equiv_pos_as_xyz
'x,y,z'
'-y,x,z'
'-x,-y,z'
'y,-x,z'
'-x,y,z'
'y,x,z'
'x,-y,z'
'-y,-x,z'
loop_
_atom_site_label
_atom_site_type_symbol
_atom_site_fract_x
_atom_site_fract_y
_atom_site_fract_z
Ca1 Ca 0.000 0.000 0.000
Tb1 Tb 0.000 0.000 0.507
Pr1 Pr 0.500 0.500 0.269
Sm1 Sm 0.500 0.500 0.737
# V in Å³/cell: 142.12
# Polymorph energy (0 for the lowest one) in eV/f.u.: 0.00
# Final energy in eV/atom: -3.987
# Magnetization in μB per cell: 0.00
# ΔE_f in kJ/mol of atoms: 4